! PBE NaCN, optimized geometry; values from VASP
&SYSTEM
  ibrav = 0, nat = 3, ntyp = 3
/
ATOMIC_SPECIES
Na 22.99 Na.upf
C 12.01 C.upf
N 14.01 N.upf
CELL_PARAMETERS angstrom
-1.9138 3.6539 -0.4102
-1.8980 -0.9694 3.5552
4.0520 0.6030 -0.6317
ATOMIC_POSITIONS angstrom
Na 2.1034 4.1874 -1.0249
C 1.9050 1.4652 1.0583
N -1.6299 1.8916 1.4380
! Symmetry: Imm2, No. 44
! Uncorrected formation energy (eV per atom): -0.177
! Total DFT energy (no corrections) (eV per formula unit): -19.40
! Distance to the lowest polymorph of the same formula (meV/atom): 4.0

---

! PBE Na2C2N3, optimized geometry; values from VASP
&SYSTEM
  ibrav = 0, nat = 7, ntyp = 3
/
ATOMIC_SPECIES
Na 22.99 Na.upf
C 12.01 C.upf
N 14.01 N.upf
CELL_PARAMETERS angstrom
2.5060 0.0000 0.0000
0.0000 6.5600 -0.2950
-1.2530 -2.2120 4.3845
ATOMIC_POSITIONS angstrom
Na 0.0000 -0.4616 3.5563
Na 1.2530 4.8097 0.5332
C 0.0000 1.4870 1.4836
C 1.2530 2.8611 2.6059
N 0.0000 0.0000 0.0000
N 0.0000 3.0524 1.8005
N 1.2530 1.2957 2.2891
! Symmetry: C2/m, No. 12
! Uncorrected formation energy (eV per atom): 0.960
! Total DFT energy (no corrections) (eV per formula unit): -39.34
! Distance to the lowest polymorph of the same formula (meV/atom): 815.1

---

! PBE NaCN, optimized geometry; values from VASP
&SYSTEM
  ibrav = 0, nat = 6, ntyp = 3
/
ATOMIC_SPECIES
Na 22.99 Na.upf
C 12.01 C.upf
N 14.01 N.upf
CELL_PARAMETERS angstrom
-1.7878 -3.1753 0.3018
4.0499 -2.1152 1.7354
-1.5135 1.3434 5.1693
ATOMIC_POSITIONS angstrom
Na 1.1344 -0.5925 0.4861
Na 1.2649 -2.4387 3.9849
C -0.2472 0.4056 2.8030
C 2.6464 -3.4367 1.6680
N 1.6687 -2.9261 1.2490
N 0.7306 -0.1051 3.2220
! Symmetry: Pmmn, No. 59
! Uncorrected formation energy (eV per atom): -0.181
! Total DFT energy (no corrections) (eV per formula unit): -19.41
! Distance to the lowest polymorph of the same formula (meV/atom): 0.0

---

! PBE Na3CN, optimized geometry; values from VASP
&SYSTEM
  ibrav = 0, nat = 5, ntyp = 3
/
ATOMIC_SPECIES
Na 22.99 Na.upf
C 12.01 C.upf
N 14.01 N.upf
CELL_PARAMETERS angstrom
-4.6223 0.0857 -0.4610
-0.4257 -2.6817 3.7699
-0.1966 3.7929 2.6759
ATOMIC_POSITIONS angstrom
Na -0.2128 -1.3408 1.8850
Na -0.0983 1.8965 1.3379
Na -2.3111 0.0428 -0.2305
C -2.6222 0.5985 2.9924
N 0.0000 0.0000 0.0000
! Symmetry: Pm-3m, No. 221
! Uncorrected formation energy (eV per atom): 1.305
! Total DFT energy (no corrections) (eV per formula unit): -14.98
! Distance to the lowest polymorph of the same formula (meV/atom): 0.0